[1]
DFT (GGA-PBE) results for crystalline Sc3CdSb at its relaxed geometry.

M_tot = 0.0 μB per formula unit
space-group type = Pm-3m (221)
uncorrected energy = -4.71 eV/atom
energy above the lowest structure with this stoichiometry = 0.0000 eV/atom
formation energy (no corrections) = 98.6 meV per atom
ρ = 4055 kg/m³

Cell: 5.327 5.327 5.327 Å, 90.00 90.00 90.00°
Sites, in units of the cell vectors:
1 Sc 0.000 0.500 0.000
2 Sc 0.000 0.000 0.500
3 Sc 0.500 0.000 0.000
4 Sb 0.000 0.000 0.000
5 Cd 0.500 0.500 0.500



[2]
DFT (GGA-PBE) results for crystalline UMoOs2 at its relaxed geometry.

M_tot = 0.0 μB per formula unit
formation energy from the elements = 0.026 eV/atom
space-group type = P4/mmm (123)
uncorrected energy = -11.12 eV/atom
energy above the lowest structure with this stoichiometry = 0.0117 eV/atom
ρ = 17739 kg/m³

Cell: 3.999 4.089 4.089 Å, 90.00 90.00 90.00°
Sites, in units of the cell vectors:
1 Os 0.000 0.000 0.500
2 Os 0.000 0.500 0.000
3 Mo 0.500 0.500 0.500
4 U 0.500 0.000 0.000



[3]
DFT (GGA-PBE) results for crystalline YTc2IrBr at its relaxed geometry.

M_tot = 0.0 μB per formula unit
space-group type = P4/mmm (123)
uncorrected energy = -6.57 eV/atom
formation energy (no corrections) = 974.9 meV per atom
ρ = 9297 kg/m³

Cell: 4.592 4.719 4.592 Å, 90.00 90.00 90.00°
Sites, in units of the cell vectors:
1 Y 0.500 0.500 0.500
2 Ir 0.000 0.500 0.000
3 Tc 0.000 0.000 0.500
4 Tc 0.500 0.000 0.000
5 Br 0.000 0.000 0.000



The lowest ρ belongs to which entry? Sc3CdSb